Entry 1:
The following is a GGA-PBE calculation of a relaxed GaFeCoMo crystal, from the Open Quantum Materials Database.

Structure (CIF):
```
data_GaFeCoMo
_chemical_formula_sum 'Ga4 Fe4 Co4 Mo4'
_symmetry_space_group_name_H-M 'F -4 3 m'
_symmetry_Int_Tables_number 216
_symmetry_space_group_name_Hall 'F -4 2 3'
_cell_length_a 5.876
_cell_length_b 5.876
_cell_length_c 5.876
_cell_angle_alpha 90.00
_cell_angle_beta 90.00
_cell_angle_gamma 90.00
loop_
_atom_site_label
_atom_site_fract_x
_atom_site_fract_y
_atom_site_fract_z
Ga1 0.000 0.000 0.000
Fe1 0.250 0.250 0.750
Co1 0.250 0.250 0.250
Mo1 0.000 0.000 0.500
```


Entry 2:
The following is a GGA-PBE calculation of a relaxed GaFeCoPd crystal, from the Open Quantum Materials Database.

Structure (CIF):
```
data_GaFeCoPd
_chemical_formula_sum 'Ga4 Fe4 Co4 Pd4'
_symmetry_space_group_name_H-M 'F -4 3 m'
_symmetry_Int_Tables_number 216
_symmetry_space_group_name_Hall 'F -4 2 3'
_cell_length_a 5.979
_cell_length_b 5.979
_cell_length_c 5.979
_cell_angle_alpha 90.00
_cell_angle_beta 90.00
_cell_angle_gamma 90.00
loop_
_atom_site_label
_atom_site_fract_x
_atom_site_fract_y
_atom_site_fract_z
Ga1 0.000 0.000 0.000
Fe1 0.000 0.000 0.500
Co1 0.250 0.250 0.250
Pd1 0.250 0.250 0.750
```


Number 1: electronic total energy -118.21 eV for the cell shown, total magnetization 0.49 μB per atom. Number 2: electronic total energy -97.57 eV for the cell shown, total magnetization 1.13 μB per atom.